No. 1
A plane-wave DFT calculation with GGA-PBE was carried out for a relaxed Tb15Nd4Dy crystal.

Geometry as POSCAR:
```
Tb15Nd4Dy
1.0
-4.1401 1.7549 2.3461
-2.4732 0.0841 -4.4272
-7.8356 -23.7344 3.9264
Tb Nd Dy
15 4 1
Direct
0.5000 0.5000 0.0000
0.5000 0.5000 0.1988
0.5000 0.5000 0.3997
0.5000 0.5000 0.6003
0.5000 0.5000 0.8012
0.5000 0.0000 0.0986
0.5000 0.0000 0.2992
0.5000 0.0000 0.5000
0.5000 0.0000 0.7008
0.5000 0.0000 0.9014
0.0000 0.5000 0.0986
0.0000 0.5000 0.2992
0.0000 0.5000 0.5000
0.0000 0.5000 0.7008
0.0000 0.5000 0.9014
0.0000 0.0000 0.1991
0.0000 0.0000 0.3996
0.0000 0.0000 0.6004
0.0000 0.0000 0.8009
0.0000 0.0000 0.0000
```

## Properties
SG ... No. 123
Size of the total moment ... 0.00 μB/f.u.
Calculated formation energy ... 17 meV per atom

---

No. 2
A plane-wave DFT calculation with GGA-PBE was carried out for a relaxed Tb3DyY6Er2 crystal.

Geometry as POSCAR:
```
Tb3DyY6Er2
1.0
-6.0290 -0.7344 -1.0010
4.0000 -4.1549 -2.1512
-0.2386 -4.3769 10.9353
Tb Dy Y Er
3 1 6 2
Direct
0.1667 0.8333 0.5000
0.8333 0.1667 0.5000
0.5000 0.5000 0.5000
0.0000 0.0000 0.0000
0.9168 0.5833 0.7511
0.7497 0.7497 0.2490
0.0832 0.4167 0.2489
0.5833 0.9168 0.7511
0.2503 0.2503 0.7510
0.4167 0.0832 0.2489
0.3334 0.6666 0.0000
0.6666 0.3334 0.0000
```

## Properties
SG ... No. 12
Size of the total moment ... 0.00 μB/f.u.
Calculated formation energy ... 21 meV per atom

---

No. 3
A plane-wave DFT calculation with GGA-PBE was carried out for a relaxed PuScZnNi crystal.

Geometry as POSCAR:
```
PuScZnNi
1.0
4.7776 0.0000 0.0000
2.3888 4.1375 0.0000
2.3888 1.3792 3.9009
Sc Ni Zn Pu
1 1 1 1
Direct
0.2500 0.2500 0.2500
0.0000 0.0000 0.0000
0.5000 0.5000 0.5000
0.7500 0.7500 0.7500
```

## Properties
SG ... No. 216
Size of the total moment ... 5.40 μB/f.u.
Calculated formation energy ... -135 meV per atom

---

No. 4
A plane-wave DFT calculation with GGA-PBE was carried out for a relaxed BeSb2Rh crystal.

Geometry as POSCAR:
```
BeSb2Rh
1.0
4.8736 0.0004 -0.0020
0.6825 4.8256 0.0020
-2.3813 -2.8698 3.1378
Sb Rh Be
2 1 1
Direct
0.9820 0.9820 0.0000
0.5180 0.5180 0.0000
0.2500 0.7500 0.5000
0.7500 0.2500 0.5000
```

## Properties
SG ... No. 71
Uncorrected formation energy ... 0.24 eV/atom
Size of the total moment ... 0.00 μB/f.u.

---

No. 5
A plane-wave DFT calculation with GGA-PBE was carried out for a relaxed InSnRh crystal.

Geometry as POSCAR:
```
InSnRh
1.0
3.3568 0.0000 0.0000
1.6784 2.9071 0.0000
1.6784 0.9690 6.5034
Sn In Rh
1 1 1
Direct
0.3419 0.3419 0.9744
0.5386 0.5386 0.3842
0.1049 0.1049 0.6853
```

## Properties
SG ... No. 160
Size of the total moment ... 0.00 μB/f.u.
Calculated formation energy ... -161 meV per atom

---

No. 6
A plane-wave DFT calculation with GGA-PBE was carried out for a relaxed AcSmCdPt crystal.

Geometry as POSCAR:
```
AcSmCdPt
1.0
-2.3539 -3.5988 3.2314
3.0091 -3.2042 3.1004
0.0775 0.7157 5.3306
Ac Sm Pt Cd
1 1 1 1
Direct
0.5000 0.5000 0.5000
0.0000 0.0000 0.0000
0.7500 0.7500 0.7500
0.2500 0.2500 0.2500
```

## Properties
SG ... No. 216
Size of the total moment ... 0.00 μB/f.u.
Calculated formation energy ... -586 meV per atom

---

No. 7
A plane-wave DFT calculation with GGA-PBE was carried out for a relaxed Mn2PtRh8 crystal.

Geometry as POSCAR:
```
Mn2PtRh8
1.0
-1.7481 3.6000 0.0792
-3.3971 -1.7691 5.4379
7.0036 1.1605 0.6850
Mn Pt Rh
2 1 8
Direct
0.1991 0.6991 0.3982
0.8009 0.3009 0.6018
0.5000 0.0000 0.0000
0.6544 0.8649 0.3087
0.3456 0.5562 0.6913
0.1548 0.1548 0.3097
0.0000 0.3018 0.0000
0.8452 0.8452 0.6903
0.6544 0.4438 0.3087
0.3456 0.1351 0.6913
0.0000 0.6982 0.0000
```

## Properties
SG ... No. 71
Size of the total moment ... 4.39 μB/f.u.
Calculated formation energy ... 47 meV per atom

---

No. 8
A plane-wave DFT calculation with GGA-PBE was carried out for a relaxed Pm6TeAu2Se3 crystal.

Geometry as POSCAR:
```
Pm6TeAu2Se3
1.0
-3.5070 0.0919 2.3139
4.5873 -2.3890 7.0476
1.9506 9.3848 -1.2328
Pm Te Au Se
6 1 2 3
Direct
0.3276 0.9082 0.6551
0.6638 0.5907 0.3277
0.6724 0.0918 0.3449
0.0018 0.2659 0.0036
0.9982 0.7341 0.9964
0.3362 0.4093 0.6723
0.5000 0.0000 0.0000
0.8291 0.6564 0.6581
0.1709 0.3436 0.3419
0.5000 0.5000 0.0000
0.8375 0.1614 0.6751
0.1625 0.8386 0.3249
```

## Properties
SG ... No. 12
Uncorrected formation energy ... -1.40 eV/atom
Size of the total moment ... 0.00 μB/f.u.

---

No. 9
A plane-wave DFT calculation with GGA-PBE was carried out for a relaxed KMnTl2S4 crystal.

Geometry as POSCAR:
```
KMnTl2S4
1.0
-6.4634 0.8589 1.2869
1.4199 -6.4531 -0.7146
3.7200 2.2598 5.0224
K Mn Tl S
1 1 2 4
Direct
0.0000 0.0000 0.0000
0.0000 0.5000 0.5000
0.5000 0.7500 0.2500
0.5000 0.2500 0.7500
0.0000 0.1891 0.5319
0.6572 0.4681 0.4681
0.3428 0.8109 0.8109
0.0000 0.5319 0.1891
```

## Properties
SG ... No. 121
Uncorrected formation energy ... -0.53 eV/atom
Size of the total moment ... 2.14 μB/f.u.

---

No. 10
A plane-wave DFT calculation with GGA-PBE was carried out for a relaxed Sm4YPb2 crystal.

Geometry as POSCAR:
```
Sm4YPb2
1.0
-1.8155 -4.4429 -2.6152
3.2404 -3.1398 3.0847
-6.8697 2.9840 5.4114
Sm Y Pb
4 1 2
Direct
0.8164 0.8164 0.6327
0.1836 0.1836 0.3673
0.0000 0.5000 0.0000
0.5000 0.0000 0.0000
0.0000 0.0000 0.0000
0.6308 0.6308 0.2616
0.3692 0.3692 0.7384
```

## Properties
SG ... No. 139
Size of the total moment ... 0.00 μB/f.u.
Calculated formation energy ... 379 meV per atom

---

No. 11
A plane-wave DFT calculation with GGA-PBE was carried out for a relaxed Nd2SmRh crystal.

Geometry as POSCAR:
```
Nd2SmRh
1.0
3.9030 -0.1553 0.0000
-1.7125 6.1128 0.0000
0.0000 0.0000 9.9508
Nd Sm Rh
4 2 2
Direct
0.1385 0.2779 0.4324
0.8615 0.7221 0.5676
0.8615 0.7221 0.9324
0.1385 0.2779 0.0676
0.4166 0.8333 0.2500
0.5834 0.1667 0.7500
0.7359 0.4723 0.2500
0.2641 0.5277 0.7500
```

## Properties
SG ... No. 63
Polymorph energy (0 for the lowest one) ... 0.032 eV/atom
Size of the total moment ... 0.00 μB/f.u.
Calculated formation energy ... -400 meV per atom

---

No. 12
A plane-wave DFT calculation with GGA-PBE was carried out for a relaxed Pm3Zn2SiPd9 crystal.

Geometry as POSCAR:
```
Pm3Zn2SiPd9
1.0
6.5381 0.0000 0.0000
-3.2690 5.6622 0.0000
0.0000 0.0000 8.4239
Pm Zn Si Pd
3 2 1 9
Direct
0.3333 0.6667 0.7025
0.0000 0.0000 0.0000
0.6667 0.3333 0.2975
0.3333 0.6667 0.1883
0.6667 0.3333 0.8117
0.0000 0.0000 0.5000
0.8592 0.1408 0.7029
0.8592 0.7183 0.7029
0.2817 0.1408 0.7029
0.7183 0.8592 0.2971
0.1408 0.2817 0.2971
0.1408 0.8592 0.2971
0.5000 0.0000 0.0000
0.0000 0.5000 0.0000
0.5000 0.5000 0.0000
```

## Properties
SG ... No. 164
Uncorrected formation energy ... -0.48 eV/atom
Size of the total moment ... 0.00 μB/f.u.